Model P:
Crystalline Sc2TeBr at its relaxed geometry. Source: Alexandria, functional PBE-GGA.

## Properties
Size of the total moment in μB per formula unit: 0.7
Density in g cm⁻³: 5.45
Density of states at the Fermi level in states/eV per cell: 4.544

Cell: 3.567 3.567 7.126 Å, 90.00 90.00 90.00°
Atoms (fractional coordinates):
Sc: 0.000 0.000 0.235
Sc: 0.000 0.000 0.765
Te: 0.500 0.500 0.000
Br: 0.500 0.500 0.500

Model Q:
Crystalline Sc2TeBr at its relaxed geometry. Source: Alexandria, functional PBE-GGA.

## Properties
Size of the total moment in μB per formula unit: 0.0
Density in g cm⁻³: 4.51
Density of states at the Fermi level in states/eV per cell: 1.184

Cell: 7.927 7.927 3.773 Å, 90.10 90.10 27.49°
Atoms (fractional coordinates):
Sc: 0.000 0.000 0.000
Sc: 0.618 0.618 0.501
Te: 0.192 0.192 0.001
Br: 0.431 0.431 0.499

model Q takes first place; second place is 204 meV per atom up.

Model P:
Crystalline Sc2TeBr at its relaxed geometry. Source: Alexandria, functional PBE-GGA.

## Properties
Size of the total moment in μB per formula unit: 0.0
Density in g cm⁻³: 3.91
Density of states at the Fermi level in states/eV per cell: 10.478

Cell: 7.805 7.805 7.805 Å, 132.61 132.61 69.27°
Atoms (fractional coordinates):
Sc: 0.106 0.625 0.981
Sc: 0.375 0.356 0.481
Sc: 0.644 0.125 0.019
Sc: 0.875 0.894 0.519
Te: 0.250 0.750 0.500
Te: 0.500 0.500 0.000
Br: 0.000 0.000 0.000
Br: 0.750 0.250 0.500

Model Q:
Crystalline Sc2TeBr at its relaxed geometry. Source: Alexandria, functional PBE-GGA.

## Properties
Size of the total moment in μB per formula unit: 0.4
Density in g cm⁻³: 4.74
Density of states at the Fermi level in states/eV per cell: 6.305

Cell: 10.081 10.081 10.081 Å, 19.94 19.94 19.94°
Atoms (fractional coordinates):
Sc: 0.094 0.094 0.094
Sc: 0.906 0.906 0.906
Te: 0.000 0.000 0.000
Br: 0.500 0.500 0.500

Model R:
Crystalline Sc2TeBr at its relaxed geometry. Source: Alexandria, functional PBE-GGA.

## Properties
Size of the total moment in μB per formula unit: 0.0
Density in g cm⁻³: 5.22
Density of states at the Fermi level in states/eV per cell: 2.820

Cell: 6.736 6.736 6.736 Å, 36.02 36.02 36.02°
Atoms (fractional coordinates):
Sc: 0.238 0.238 0.238
Sc: 0.762 0.762 0.762
Te: 0.000 0.000 0.000
Br: 0.500 0.500 0.500

model R takes first place; second place is 252 meV per atom up.

Model P:
Crystalline Sc2TeBr at its relaxed geometry. Source: Alexandria, functional PBE-GGA.

## Properties
Size of the total moment in μB per formula unit: 0.0
Density in g cm⁻³: 4.81
Density of states at the Fermi level in states/eV per cell: 3.975

Cell: 7.046 7.046 7.046 Å, 147.12 147.12 47.19°
Atoms (fractional coordinates):
Sc: 0.000 0.000 0.000
Sc: 0.750 0.250 0.500
Te: 0.250 0.750 0.500
Br: 0.500 0.500 0.000

Model Q:
Crystalline Sc2TeBr at its relaxed geometry. Source: Alexandria, functional PBE-GGA.

## Properties
Size of the total moment in μB per formula unit: 0.0
Density in g cm⁻³: 4.93
Density of states at the Fermi level in states/eV per cell: 4.518

Cell: 5.568 5.568 3.642 Å, 106.97 106.97 97.98°
Atoms (fractional coordinates):
Sc: 0.000 0.500 0.000
Sc: 0.500 0.000 0.000
Te: 0.000 0.000 0.500
Br: 0.500 0.500 0.500

Model R:
Crystalline Sc2TeBr at its relaxed geometry. Source: Alexandria, functional PBE-GGA.

## Properties
Size of the total moment in μB per formula unit: 0.5
Density in g cm⁻³: 5.00
Density of states at the Fermi level in states/eV per cell: 3.368

Cell: 3.706 3.820 6.977 Å, 90.00 90.12 90.00°
Atoms (fractional coordinates):
Sc: 0.001 0.000 0.226
Sc: 0.999 0.000 0.774
Te: 0.500 0.500 0.000
Br: 0.000 0.500 0.500

model R takes first place; second place is 172 meV per atom up.

Model P:
Crystalline Sc2TeBr at its relaxed geometry. Source: Alexandria, functional PBE-GGA.

## Properties
Size of the total moment in μB per formula unit: 0.9
Density in g cm⁻³: 4.19
Density of states at the Fermi level in states/eV per cell: 4.190

Cell: 8.847 8.847 8.847 Å, 26.06 26.06 26.06°
Atoms (fractional coordinates):
Sc: 0.101 0.101 0.101
Sc: 0.899 0.899 0.899
Te: 0.500 0.500 0.500
Br: 0.000 0.000 0.000

Model Q:
Crystalline Sc2TeBr at its relaxed geometry. Source: Alexandria, functional PBE-GGA.

## Properties
Size of the total moment in μB per formula unit: 3.0
Density in g cm⁻³: 4.89
Density of states at the Fermi level in states/eV per cell: 1.808

Cell: 5.229 5.229 5.229 Å, 60.00 60.00 60.00°
Atoms (fractional coordinates):
Sc: 0.000 0.000 0.000
Sc: 0.250 0.250 0.250
Te: 0.750 0.750 0.750
Br: 0.500 0.500 0.500

model P takes first place; second place is 597 meV per atom up.